[1]
Compound: KSmPbO3
Source: the Alexandria database
Functional: PBE
Structure: relaxed

## Properties
Formation energy from raw total energies in eV/atom: -2.131
Calculated volume in Å³ per cell: 231

a b c (Å): 6.9758 3.5985 9.1884
angles (deg): 90.00 90.09 90.00
Closest atoms and distances in Å follow each position.
Fractional coordinates of all 12 atoms:
K: 0.1050 0.2500 0.3193  5 O 2.80-2.90
K: 0.8950 0.7500 0.6807  5 O 2.80-2.90
Sm: 0.4128 0.2500 0.6530  6 O 2.37-2.39
Sm: 0.5872 0.7500 0.3470  6 O 2.37-2.39
Pb: 0.2589 0.7500 0.9591  3 O 2.27-2.37
Pb: 0.7411 0.2500 0.0409  3 O 2.27-2.37
O: 0.1471 0.2500 0.8149  2 Pb 2.37, 1 Sm 2.38
O: 0.3163 0.7500 0.5015  3 Sm 2.37
O: 0.4861 0.2500 0.1942  1 Pb 2.27, 2 Sm 2.39
O: 0.5139 0.7500 0.8058  1 Pb 2.27, 2 Sm 2.39
O: 0.6837 0.2500 0.4985  3 Sm 2.37
O: 0.8529 0.7500 0.1851  2 Pb 2.37, 1 Sm 2.38

***

[2]
Compound: ZrReAg2
Source: the Alexandria database
Functional: PBE
Structure: relaxed

## Properties
Calculated volume in Å³ per cell: 71
ΔE to the lowest computed polymorph in eV per formula unit: 0.95

a b c (Å): 10.2194 10.2194 10.2194
angles (deg): 16.05 16.05 16.05
Closest atoms and distances in Å follow each position.
Fractional coordinates of all 4 atoms:
Zr: 0.0000 0.0000 0.0000  6 Zr 2.85, 6 Ag 3.11
Re: 0.5000 0.5000 0.5000  6 Re 2.85, 6 Ag 2.91
Ag: 0.2461 0.2461 0.2461  6 Ag 2.85, 3 Re 2.91, 3 Zr 3.11
Ag: 0.7539 0.7539 0.7539  6 Ag 2.85, 3 Re 2.91, 3 Zr 3.11

***

[3]
Compound: Sr2Hf3S8
Source: the Alexandria database
Functional: PBE
Structure: relaxed

## Properties
Formation energy from raw total energies in eV/atom: -1.763
Calculated volume in Å³ per cell: 336

a b c (Å): 8.1229 8.1229 6.4937
angles (deg): 106.37 106.37 55.71
Closest atoms and distances in Å follow each position.
Fractional coordinates of all 13 atoms:
Sr: 0.2374 0.2374 0.1662  6 S 2.95-3.01
Sr: 0.7626 0.7626 0.8338  6 S 2.95-3.01
Hf: 0.2374 0.7626 0.5000  6 S 2.49-2.67
Hf: 0.5000 0.5000 0.0000  6 S 2.54-2.55
Hf: 0.7626 0.2374 0.5000  6 S 2.49-2.67
S: 0.1106 0.1106 0.4515  2 Hf 2.49
S: 0.1634 0.6268 0.1031  2 Hf 2.54-2.55
S: 0.3732 0.8366 0.8969  2 Hf 2.54-2.55
S: 0.3976 0.3976 0.5984  3 Hf 2.55-2.67
S: 0.6024 0.6024 0.4016  3 Hf 2.55-2.67
S: 0.6268 0.1634 0.1031  2 Hf 2.54-2.55
S: 0.8366 0.3732 0.8969  2 Hf 2.54-2.55
S: 0.8894 0.8894 0.5485  2 Hf 2.49

***

[4]
Compound: NaTm2Pb9
Source: the Alexandria database
Functional: PBE
Structure: relaxed

## Properties
Calculated volume in Å³ per cell: 347
Uncorrected energy in eV per atom: -3.830

a b c (Å): 4.8390 4.8390 14.8309
angles (deg): 90.00 90.00 90.00
Closest atoms and distances in Å follow each position.
Fractional coordinates of all 12 atoms:
Na: 0.0000 0.0000 0.0000  12 Pb 3.42-3.47
Tm: 0.0000 0.0000 0.3369  12 Pb 3.42-3.49
Tm: 0.0000 0.0000 0.6631  12 Pb 3.42-3.49
Pb: 0.0000 0.5000 0.1677  8 Pb 3.42-3.47, 2 Na 3.47, 2 Tm 3.49
Pb: 0.0000 0.5000 0.5000  8 Pb 3.42-3.47, 4 Tm 3.42
Pb: 0.0000 0.5000 0.8323  8 Pb 3.42-3.47, 2 Na 3.47, 2 Tm 3.49
Pb: 0.5000 0.0000 0.1677  8 Pb 3.42-3.47, 2 Na 3.47, 2 Tm 3.49
Pb: 0.5000 0.0000 0.5000  8 Pb 3.42-3.47, 4 Tm 3.42
Pb: 0.5000 0.0000 0.8323  8 Pb 3.42-3.47, 2 Na 3.47, 2 Tm 3.49
Pb: 0.5000 0.5000 0.0000  4 Na 3.42, 8 Pb 3.47
Pb: 0.5000 0.5000 0.3327  4 Tm 3.42, 8 Pb 3.44-3.47
Pb: 0.5000 0.5000 0.6673  4 Tm 3.42, 8 Pb 3.44-3.47

***

[5]
Compound: InC3
Source: the Alexandria database
Functional: PBE
Structure: relaxed

## Properties
Calculated volume in Å³ per cell: 44
ΔE to the lowest computed polymorph in eV per formula unit: 9.87

a b c (Å): 3.9701 3.9701 3.9701
angles (deg): 60.00 60.00 60.00
Closest atoms and distances in Å follow each position.
Fractional coordinates of all 4 atoms:
In: 0.0000 0.0000 0.0000  8 C 2.43
C: 0.2500 0.2500 0.2500  4 In 2.43, 4 C 2.43
C: 0.5000 0.5000 0.5000  8 C 2.43
C: 0.7500 0.7500 0.7500  4 In 2.43, 4 C 2.43

***

[6]
Compound: InAuF3
Source: the Alexandria database
Functional: PBE
Structure: relaxed

## Properties
Formation energy from raw total energies in eV/atom: -1.147
Calculated volume in Å³ per cell: 91
ΔE to the lowest computed polymorph in eV per formula unit: 1.52

a b c (Å): 4.4930 4.4930 4.4930
angles (deg): 90.00 90.00 90.00
Closest atoms and distances in Å follow each position.
Fractional coordinates of all 5 atoms:
In: 0.0000 0.0000 0.0000  12 F 3.18
Au: 0.5000 0.5000 0.5000  6 F 2.25
F: 0.0000 0.5000 0.5000  2 Au 2.25
F: 0.5000 0.0000 0.5000  2 Au 2.25
F: 0.5000 0.5000 0.0000  2 Au 2.25

***

[7]
Compound: ZrTePd6
Source: the Alexandria database
Functional: PBE
Structure: relaxed

## Properties
Formation energy from raw total energies in eV/atom: -0.502
Calculated volume in Å³ per cell: 135

a b c (Å): 4.0550 4.0550 8.1836
angles (deg): 90.00 90.00 90.00
Closest atoms and distances in Å follow each position.
Fractional coordinates of all 8 atoms:
Zr: 0.0000 0.0000 0.0000  12 Pd 2.83-2.87
Te: 0.0000 0.0000 0.5000  12 Pd 2.87-2.94
Pd: 0.0000 0.5000 0.2404  8 Pd 2.83-2.94, 2 Zr 2.83, 2 Te 2.94
Pd: 0.0000 0.5000 0.7596  8 Pd 2.83-2.94, 2 Zr 2.83, 2 Te 2.94
Pd: 0.5000 0.0000 0.2404  8 Pd 2.83-2.94, 2 Zr 2.83, 2 Te 2.94
Pd: 0.5000 0.0000 0.7596  8 Pd 2.83-2.94, 2 Zr 2.83, 2 Te 2.94
Pd: 0.5000 0.5000 0.0000  8 Pd 2.83, 4 Zr 2.87
Pd: 0.5000 0.5000 0.5000  4 Te 2.87, 8 Pd 2.94

***

[8]
Compound: BaZnP2O7
Source: the Alexandria database
Functional: PBE
Structure: relaxed

## Properties
Formation energy from raw total energies in eV/atom: -2.391
Calculated volume in Å³ per cell: 305

a b c (Å): 5.3800 7.5924 7.6862
angles (deg): 102.72 93.12 94.04
Closest atoms and distances in Å follow each position.
Fractional coordinates of all 22 atoms:
Ba: 0.1999 0.2796 0.4349  9 O 2.73-3.03
Ba: 0.8001 0.7204 0.5651  9 O 2.73-3.03
Zn: 0.2023 0.1104 0.8938  4 O 1.99-2.05
Zn: 0.7977 0.8896 0.1062  4 O 1.99-2.05
P: 0.2952 0.6945 0.8963  4 O 1.50-1.63
P: 0.2983 0.7678 0.2819  4 O 1.52-1.63
P: 0.7017 0.2322 0.7181  4 O 1.52-1.63
P: 0.7048 0.3055 0.1037  4 O 1.50-1.63
O: 0.0722 0.8846 0.2960  1 P 1.55
O: 0.1151 0.8488 0.9027  1 P 1.57
O: 0.2115 0.5338 0.7477  1 P 1.50
O: 0.2685 0.6324 0.0843  2 P 1.63
O: 0.2953 0.6500 0.4185  1 P 1.52
O: 0.4300 0.2314 0.1058  1 P 1.55
O: 0.4526 0.1154 0.7031  1 P 1.54
O: 0.5474 0.8846 0.2969  1 P 1.54
O: 0.5700 0.7686 0.8942  1 P 1.55
O: 0.7047 0.3500 0.5815  1 P 1.52
O: 0.7315 0.3676 0.9157  2 P 1.63
O: 0.7885 0.4662 0.2523  1 P 1.50
O: 0.8849 0.1512 0.0973  1 P 1.57
O: 0.9278 0.1154 0.7040  1 P 1.55

***

[9]
Compound: Ta2NiAu2S6
Source: the Alexandria database
Functional: PBE
Structure: relaxed

## Properties
Formation energy from raw total energies in eV/atom: -0.528
Calculated volume in Å³ per cell: 231

a b c (Å): 6.1241 6.1241 7.5449
angles (deg): 98.47 98.47 121.29
Closest atoms and distances in Å follow each position.
Fractional coordinates of all 11 atoms:
Ta: 0.1352 0.8648 0.0000  6 S 2.39-2.61
Ta: 0.8648 0.1352 0.0000  6 S 2.39-2.61
Ni: 0.5000 0.5000 0.0000  6 S 2.40-2.53
Au: 0.3350 0.6650 0.5000  2 S 2.32
Au: 0.6650 0.3350 0.5000  2 S 2.32
S: 0.0891 0.0891 0.7782  2 Ta 2.39, 1 Ni 2.53
S: 0.2458 0.5854 0.1789  1 Au 2.32, 1 Ni 2.40, 1 Ta 2.48
S: 0.4146 0.7542 0.8211  1 Au 2.32, 1 Ni 2.40, 1 Ta 2.48
S: 0.5854 0.2458 0.1789  1 Au 2.32, 1 Ni 2.40, 1 Ta 2.48
S: 0.7542 0.4146 0.8211  1 Au 2.32, 1 Ni 2.40, 1 Ta 2.48
S: 0.9109 0.9109 0.2218  2 Ta 2.39, 1 Ni 2.53

***

[10]
Compound: Hf2Pd3
Source: the Alexandria database
Functional: PBE
Structure: relaxed

## Properties
Calculated volume in Å³ per cell: 187
Uncorrected energy in eV per atom: -7.663

a b c (Å): 7.1798 7.1798 7.1798
angles (deg): 131.09 67.09 137.06
Closest atoms and distances in Å follow each position.
Fractional coordinates of all 10 atoms:
Hf: 0.1710 0.1997 0.3707  6 Pd 2.64-2.88
Hf: 0.3290 0.6997 0.0287  6 Pd 2.64-2.88
Hf: 0.6710 0.3003 0.9713  6 Pd 2.64-2.88
Hf: 0.8290 0.8003 0.6293  6 Pd 2.64-2.88
Pd: 0.1105 0.6434 0.7539  4 Hf 2.64-2.88, 2 Pd 2.82
Pd: 0.2500 0.2500 0.0000  6 Pd 2.63-2.82, 4 Hf 2.71
Pd: 0.3895 0.1434 0.5330  4 Hf 2.64-2.88, 2 Pd 2.82
Pd: 0.6105 0.8566 0.4670  4 Hf 2.64-2.88, 2 Pd 2.82
Pd: 0.7500 0.7500 0.0000  6 Pd 2.63-2.82, 4 Hf 2.71
Pd: 0.8895 0.3566 0.2461  4 Hf 2.64-2.88, 2 Pd 2.82

***

[11]
Compound: Dy5Y2Th4
Source: the Alexandria database
Functional: PBE
Structure: relaxed

## Properties
Calculated volume in Å³ per cell: 354
ΔE to the lowest computed polymorph in eV per formula unit: 0.00

a b c (Å): 8.7117 8.7117 11.7660
angles (deg): 95.68 95.68 23.49
Closest atoms and distances in Å follow each position.
Fractional coordinates of all 11 atoms:
Dy: 0.0000 0.0000 0.0000  6 Dy 3.55-3.91, 4 Y 3.68, 4 Th 3.83
Dy: 0.0946 0.0946 0.5653  3 Th 3.41-3.51, 7 Dy 3.43-3.66, 2 Y 3.54
Dy: 0.4458 0.4458 0.7062  1 Y 3.37, 3 Th 3.43-3.51, 6 Dy 3.55-3.66
Dy: 0.5542 0.5542 0.2938  1 Y 3.37, 3 Th 3.43-3.51, 6 Dy 3.55-3.66
Dy: 0.9054 0.9054 0.4347  3 Th 3.41-3.51, 7 Dy 3.43-3.66, 2 Y 3.54
Y: 0.3663 0.3663 0.1745  4 Th 3.32-3.47, 5 Dy 3.37-3.68, 2 Y 3.55
Y: 0.6337 0.6337 0.8255  4 Th 3.32-3.47, 5 Dy 3.37-3.68, 2 Y 3.55
Th: 0.2293 0.2293 0.3695  5 Dy 3.41-3.51, 1 Y 3.44, 6 Th 3.55-3.60
Th: 0.3066 0.3066 0.8971  3 Y 3.32-3.47, 1 Dy 3.43, 6 Th 3.55-3.70
Th: 0.6934 0.6934 0.1029  3 Y 3.32-3.47, 1 Dy 3.43, 6 Th 3.55-3.70
Th: 0.7707 0.7707 0.6305  5 Dy 3.41-3.51, 1 Y 3.44, 6 Th 3.55-3.60

***

[12]
Compound: Ta2NbHAu
Source: the Alexandria database
Functional: PBE
Structure: relaxed

## Properties
Calculated volume in Å³ per cell: 88
ΔE to the lowest computed polymorph in eV per formula unit: 5.39

a b c (Å): 5.2571 5.2571 3.1937
angles (deg): 90.00 90.00 90.00
Closest atoms and distances in Å follow each position.
Fractional coordinates of all 5 atoms:
Ta: 0.0000 0.5000 0.0000  2 Au 2.63
Ta: 0.5000 0.0000 0.0000  2 Au 2.63
Nb: 0.0000 0.0000 0.5000  8 Ta 3.08, 2 Nb 3.19
H: 0.5000 0.5000 0.5000  2 Au 1.60
Au: 0.5000 0.5000 0.0000  2 H 1.60

***

[13]
Compound: Rb4U3CdSe8
Source: the Alexandria database
Functional: PBE
Structure: relaxed

## Properties
Formation energy from raw total energies in eV/atom: -1.133
Calculated volume in Å³ per cell: 507

a b c (Å): 9.4001 9.4001 9.4001
angles (deg): 54.17 54.17 54.17
Closest atoms and distances in Å follow each position.
Fractional coordinates of all 16 atoms:
Rb: 0.0000 0.0000 0.0000  6 Se 3.45
Rb: 0.0000 0.5000 0.5000  6 Se 3.46-3.48
Rb: 0.5000 0.0000 0.5000  6 Se 3.46-3.48
Rb: 0.5000 0.5000 0.0000  6 Se 3.46-3.48
U: 0.0000 0.0000 0.5000  6 Se 2.91-2.93
U: 0.0000 0.5000 0.0000  6 Se 2.91-2.93
U: 0.5000 0.0000 0.0000  6 Se 2.91-2.93
Cd: 0.5000 0.5000 0.5000  6 Se 2.95
Se: 0.2273 0.7338 0.7338  2 U 2.91, 1 Cd 2.95
Se: 0.2324 0.2324 0.2324  3 U 2.93
Se: 0.2662 0.2662 0.7727  2 U 2.91, 1 Cd 2.95
Se: 0.2662 0.7727 0.2662  2 U 2.91, 1 Cd 2.95
Se: 0.7338 0.2273 0.7338  2 U 2.91, 1 Cd 2.95
Se: 0.7338 0.7338 0.2273  2 U 2.91, 1 Cd 2.95
Se: 0.7676 0.7676 0.7676  3 U 2.93
Se: 0.7727 0.2662 0.2662  2 U 2.91, 1 Cd 2.95

***

[14]
Compound: PmSmCo
Source: the Alexandria database
Functional: PBE
Structure: relaxed

## Properties
Calculated volume in Å³ per cell: 86
ΔE to the lowest computed polymorph in eV per formula unit: 0.23

a b c (Å): 3.9720 3.9720 6.2918
angles (deg): 90.00 90.00 120.00
Closest atoms and distances in Å follow each position.
Fractional coordinates of all 3 atoms:
Pm: 0.0000 0.0000 0.0000  3 Co 2.72
Sm: 0.3333 0.6667 0.5371  3 Co 2.71
Co: 0.6667 0.3333 0.7674  3 Sm 2.71, 3 Pm 2.72

***

[15]
Compound: AgPRu4
Source: the Alexandria database
Functional: PBE
Structure: relaxed

## Properties
Calculated volume in Å³ per cell: 96
Uncorrected energy in eV per atom: -6.721

a b c (Å): 5.1368 5.1368 5.1368
angles (deg): 60.00 60.00 60.00
Closest atoms and distances in Å follow each position.
Fractional coordinates of all 6 atoms:
Ag: 0.0000 0.0000 0.0000  12 Ru 3.01, 4 P 3.15
P: 0.7500 0.7500 0.7500  12 Ru 3.01, 4 Ag 3.15
Ru: 0.3753 0.3753 0.3753  6 Ru 2.56-2.57
Ru: 0.3753 0.3753 0.8741  6 Ru 2.56-2.57
Ru: 0.3753 0.8741 0.3753  6 Ru 2.56-2.57
Ru: 0.8741 0.3753 0.3753  6 Ru 2.56-2.57

***

[16]
Compound: CaSi2Sb
Source: the Alexandria database
Functional: PBE
Structure: relaxed

## Properties
Formation energy from raw total energies in eV/atom: 0.014
Calculated volume in Å³ per cell: 93

a b c (Å): 3.8585 3.8585 6.2237
angles (deg): 90.00 90.00 90.00
Closest atoms and distances in Å follow each position.
Fractional coordinates of all 4 atoms:
Ca: 0.0000 0.0000 0.0000  2 Sb 3.11, 8 Si 3.33
Si: 0.5000 0.5000 0.3067  1 Si 2.41
Si: 0.5000 0.5000 0.6933  1 Si 2.41
Sb: 0.0000 0.0000 0.5000  8 Si 2.98, 2 Ca 3.11

***

[17]
Compound: VIr2Pt
Source: the Alexandria database
Functional: PBE
Structure: relaxed

## Properties
Calculated volume in Å³ per cell: 59
Uncorrected energy in eV per atom: -8.253

a b c (Å): 4.3723 4.3723 4.3723
angles (deg): 60.00 60.00 60.00
Closest atoms and distances in Å follow each position.
Fractional coordinates of all 4 atoms:
V: 0.0000 0.0000 0.0000  8 Ir 2.68
Ir: 0.2500 0.2500 0.2500  4 Pt 2.68, 4 V 2.68
Ir: 0.7500 0.7500 0.7500  4 Pt 2.68, 4 V 2.68
Pt: 0.5000 0.5000 0.5000  8 Ir 2.68

***

[18]
Compound: Li2Pd2Au3
Source: the Alexandria database
Functional: PBE
Structure: relaxed

## Properties
Calculated volume in Å³ per cell: 222
ΔE to the lowest computed polymorph in eV per formula unit: 0.65

a b c (Å): 5.2265 8.5609 4.9569
angles (deg): 90.00 90.20 90.00
Closest atoms and distances in Å follow each position.
Fractional coordinates of all 14 atoms:
Li: 0.0718 0.2499 0.2491  2 Li 2.48, 3 Au 2.50-2.77, 2 Pd 2.71-2.72
Li: 0.0718 0.2501 0.7491  2 Li 2.48, 3 Au 2.50-2.77, 2 Pd 2.71-2.72
Li: 0.9282 0.7499 0.2509  2 Li 2.48, 3 Au 2.50-2.77, 2 Pd 2.71-2.72
Li: 0.9282 0.7501 0.7509  2 Li 2.48, 3 Au 2.50-2.77, 2 Pd 2.71-2.72
Pd: 0.4891 0.6619 0.0019  2 Li 2.71-2.72, 3 Pd 2.77-2.90, 5 Au 2.84-3.01
Pd: 0.4891 0.8381 0.5019  2 Li 2.71-2.72, 3 Pd 2.77-2.90, 5 Au 2.84-3.01
Pd: 0.5109 0.1619 0.4981  2 Li 2.71-2.72, 3 Pd 2.77-2.90, 5 Au 2.84-3.01
Pd: 0.5109 0.3381 0.9981  2 Li 2.71-2.72, 3 Pd 2.77-2.90, 5 Au 2.84-3.01
Au: 0.0000 0.0000 0.5000  4 Li 2.50
Au: 0.0000 0.5000 0.0000  4 Li 2.50
Au: 0.2540 0.5386 0.5013  4 Au 2.65-2.83, 4 Li 2.77-2.93, 3 Pd 2.84-2.96
Au: 0.2540 0.9614 0.0013  4 Au 2.65-2.83, 4 Li 2.77-2.93, 3 Pd 2.84-2.96
Au: 0.7460 0.0386 0.9987  4 Au 2.65-2.83, 4 Li 2.77-2.93, 3 Pd 2.84-2.96
Au: 0.7460 0.4614 0.4987  4 Au 2.65-2.83, 4 Li 2.77-2.93, 3 Pd 2.84-2.96